Computed, not measured: a relaxed structure of NpSeS at the PBE-GGA level of DFT.

Energy relative to the elements, uncorrected = -1.11 eV per atom
Density of states at the Fermi level = 16.775 states/eV/cell

a b c (Å): 3.9707 3.9707 8.5900
angles (deg): 103.36 103.36 90.00
With the nearest neighbours (Å) after each atom.
Fractional coordinates of all 6 atoms:
Se (0.0000, 0.5000, 0.0000)  4 Se 2.81, 4 Np 3.11
Se (0.5000, 0.0000, 0.0000)  4 Se 2.81, 4 Np 3.11
Np (0.6477, 0.6477, 0.2954)  5 S 2.77-2.86
Np (0.3523, 0.3523, 0.7046)  5 S 2.77-2.86
S (0.8180, 0.8180, 0.6360)  5 Np 2.77-2.86
S (0.1820, 0.1820, 0.3640)  5 Np 2.77-2.86

Computed, not measured: a relaxed structure of NpSeS at the PBE-GGA level of DFT.

Energy relative to the elements, uncorrected = -1.16 eV per atom
Density of states at the Fermi level = 32.415 states/eV/cell

a b c (Å): 3.7815 7.0041 10.3553
angles (deg): 90.00 90.00 90.00
With the nearest neighbours (Å) after each atom.
Fractional coordinates of all 12 atoms:
Np (0.7500, 0.1653, 0.1647)  4 S 2.69-2.81, 3 Se 2.87-2.92
Np (0.7500, 0.6653, 0.3353)  4 S 2.69-2.81, 3 Se 2.87-2.92
Np (0.2500, 0.8347, 0.8353)  4 S 2.69-2.81, 3 Se 2.87-2.92
Np (0.2500, 0.3347, 0.6647)  4 S 2.69-2.81, 3 Se 2.87-2.92
S (0.2500, 0.9514, 0.2798)  4 Np 2.69-2.81
S (0.7500, 0.0486, 0.7202)  4 Np 2.69-2.81
S (0.7500, 0.5486, 0.7798)  4 Np 2.69-2.81
S (0.2500, 0.4514, 0.2202)  4 Np 2.69-2.81
Se (0.2500, 0.7105, 0.5416)  4 Np 2.87-3.16, 1 S 3.19
Se (0.7500, 0.2895, 0.4584)  4 Np 2.87-3.16, 1 S 3.19
Se (0.7500, 0.7895, 0.0416)  4 Np 2.87-3.16, 1 S 3.19
Se (0.2500, 0.2105, 0.9584)  4 Np 2.87-3.16, 1 S 3.19

Computed, not measured: a relaxed structure of Np3Se2S2 at the PBE-GGA level of DFT.

Energy relative to the elements, uncorrected = -1.28 eV per atom
Density of states at the Fermi level = 57.226 states/eV/cell

a b c (Å): 7.3694 7.3694 7.3694
angles (deg): 109.47 109.47 109.47
With the nearest neighbours (Å) after each atom.
Fractional coordinates of all 14 atoms:
Np (0.1354, 0.3854, 0.2500)  4 S 2.86-2.98, 4 Se 2.89-3.07
Np (0.6146, 0.7500, 0.8646)  4 S 2.86-2.98, 4 Se 2.89-3.07
Np (0.3646, 0.1146, 0.7500)  4 S 2.86-2.98, 4 Se 2.89-3.07
Np (0.8854, 0.2500, 0.6354)  4 S 2.86-2.98, 4 Se 2.89-3.07
Np (0.2500, 0.8646, 0.1146)  4 S 2.86-2.98, 4 Se 2.89-3.07
Np (0.7500, 0.6354, 0.3854)  4 S 2.86-2.98, 4 Se 2.89-3.07
S (0.3555, 0.5000, 0.0000)  6 Np 2.86-2.98
S (0.5000, 0.8555, 0.5000)  6 Np 2.86-2.98
S (0.1445, 0.6445, 0.6445)  6 Np 2.86-2.98
S (0.0000, 0.0000, 0.8555)  6 Np 2.86-2.98
Se (0.0000, 0.0000, 0.3433)  6 Np 2.89-3.07, 3 Se 3.21
Se (0.5000, 0.3433, 0.5000)  6 Np 2.89-3.07, 3 Se 3.21
Se (0.8433, 0.5000, 0.0000)  6 Np 2.89-3.07, 3 Se 3.21
Se (0.6567, 0.1567, 0.1567)  6 Np 2.89-3.07, 3 Se 3.21

Computed, not measured: a relaxed structure of NpSeS3 at the PBE-GGA level of DFT.

Energy relative to the elements, uncorrected = -0.63 eV per atom
Density of states at the Fermi level = 19.392 states/eV/cell

a b c (Å): 4.2594 7.0033 8.7588
angles (deg): 89.03 104.07 90.00
With the nearest neighbours (Å) after each atom.
Fractional coordinates of all 10 atoms:
S (0.1941, 0.6220, 0.3883)  3 Np 2.66-2.71
S (0.8059, 0.3780, 0.6117)  3 Np 2.66-2.71
S (0.3272, 0.9550, 0.6543)  3 Np 2.67-2.71
S (0.0506, 0.2680, 0.1012)  2 Se 2.35
S (0.6728, 0.0450, 0.3457)  3 Np 2.67-2.71
S (0.9494, 0.7320, 0.8988)  2 Se 2.35
Se (0.5038, 0.6769, 0.0075)  2 S 2.35, 1 Se 2.48
Se (0.4962, 0.3231, 0.9925)  2 S 2.35, 1 Se 2.48
Np (0.2239, 0.2474, 0.4479)  7 S 2.66-2.95
Np (0.7761, 0.7526, 0.5521)  7 S 2.66-2.95